84
Lattice="7.589 0.000 0.000 0.000 12.949 -0.011 0.000 0.011 12.949" Properties=species:S:1:pos:R:3 comment="Nb4Pb3O12F2, optimized geometry, DFT PBE" formation_energy_uncorrected_ev_per_fu=-48.4 spacegroup="No. 38" energy_ev_per_atom=-7.76 pbc="T T T"
Nb 3.795 0.676 3.399
Nb 3.795 12.232 9.631
Nb 0.000 5.875 10.013
Nb 0.000 7.246 3.266
Nb 3.795 3.400 0.670
Nb 3.795 9.652 12.215
Nb 0.000 10.024 5.858
Nb 0.000 3.279 7.240
Nb 1.894 10.411 2.540
Nb 1.894 2.558 10.407
Nb 5.699 9.000 8.985
Nb 5.690 3.929 3.923
Nb 5.695 2.558 10.407
Nb 5.695 10.411 2.540
Nb 1.899 3.929 3.923
Nb 1.890 9.000 8.985
Pb 1.827 6.487 6.476
Pb 5.606 0.116 0.116
Pb 5.762 6.487 6.476
Pb 1.983 0.116 0.116
Pb 3.795 7.305 2.742
Pb 3.795 5.631 10.363
Pb 0.000 12.144 9.189
Pb 0.000 0.848 3.824
Pb 3.795 2.754 7.300
Pb 3.795 10.373 5.613
Pb 0.000 9.210 12.128
Pb 0.000 3.826 0.842
O 2.299 12.294 2.532
O 2.387 0.693 10.222
O 6.147 7.136 9.096
O 6.145 5.799 3.823
O 5.202 0.693 10.222
O 5.290 12.294 2.532
O 1.444 5.799 3.823
O 1.442 7.136 9.096
O 2.299 2.553 12.290
O 2.387 10.223 0.675
O 6.147 9.108 7.121
O 6.145 3.833 5.793
O 5.202 10.223 0.675
O 5.290 2.553 12.290
O 1.444 3.833 5.793
O 1.442 9.108 7.121
O 1.458 8.323 2.612
O 1.445 4.592 10.388
O 5.237 11.079 9.069
O 5.258 1.871 3.869
O 6.144 4.592 10.388
O 6.131 8.323 2.612
O 2.332 1.871 3.869
O 2.352 11.079 9.069
O 1.458 2.626 8.318
O 1.445 10.396 4.574
O 5.237 9.088 11.063
O 5.258 3.872 1.864
O 6.144 10.396 4.574
O 6.131 2.626 8.318
O 2.332 3.872 1.864
O 2.352 9.088 11.063
O 3.795 1.319 1.317
O 3.795 11.531 11.511
O 0.000 5.100 7.834
O 0.000 7.842 5.087
O 3.795 4.255 4.248
O 3.795 8.684 8.669
O 0.000 2.178 10.675
O 0.000 10.679 2.160
O 3.795 9.788 3.169
O 3.795 3.186 9.783
O 0.000 9.635 9.618
O 0.000 3.302 3.296
O 3.795 12.526 4.860
O 0.000 6.884 11.515
O 3.795 4.882 12.518
O 0.000 11.527 6.865
F 3.795 7.511 5.263
F 3.795 5.276 7.502
F 0.000 11.848 11.827
F 0.000 1.166 1.164
F 3.795 0.301 7.869
F 0.000 6.098 1.510
F 3.795 7.870 0.288
F 0.000 1.520 6.095